Computed, not measured: a geometry-optimized Ac3Tl2HgPd6 structure at the PBE-GGA level of DFT.

extended XYZ file:
```
12
Lattice="-1.141 5.577 -1.880 -1.579 -1.679 5.534 8.207 2.750 3.176" Properties=species:S:1:pos:R:3 pbc="T T T"
Ac 3.651 2.443 5.030
Ac 1.837 4.205 1.800
Ac 0.000 0.000 0.000
Tl 6.870 5.891 3.748
Tl -1.382 0.756 3.082
Hg 4.104 1.375 1.588
Pd 0.225 2.982 4.216
Pd 1.503 1.150 2.499
Pd 0.761 0.361 5.100
Pd 3.984 5.498 4.331
Pd 5.262 3.665 2.614
Pd 4.726 6.287 1.730
```

Results
- M_tot: 0.0 μB/f.u.
- Crystal system: trigonal
- E: -0.3412 Ry/atom
- Space-group type: No. 164
- E_form: -58 kJ per mole of atoms